(1)
Below is a relaxed structure of NaTbIn, with properties calculated at the PBE-GGA level.

DFT formation energy (eV per atom): -0.101
Fermi-level density of states (states/eV per cell): 2.93
Distance to the lowest polymorph of the same formula (eV/atom): 0.081

a b c (Å): 5.2977 5.2977 3.3682
angles (deg): 90.00 90.00 120.00
Space group P3m1 (No. 156)
Symmetry-distinct sites (fractional):
Na 0.0000 0.0000 0.0000 [1 per cell]
Tb 0.3333 0.6667 0.4961 [1 per cell]
In 0.6667 0.3333 0.9928 [1 per cell]

(2)
Below is a relaxed structure of NaTbIn4, with properties calculated at the PBE-GGA level.

DFT formation energy (eV per atom): -0.172
Fermi-level density of states (states/eV per cell): 15.02
Distance to the lowest polymorph of the same formula (eV/atom): 0.076

a b c (Å): 8.607 8.607 8.607
angles (deg): 90.00 90.00 90.00
Space group F-43m (No. 216)
Symmetry-distinct sites (fractional):
Na 0.000 0.000 0.000 [4 per cell]
Tb 0.250 0.250 0.750 [4 per cell]
In 0.125 0.125 0.375 [16 per cell]

(3)
Below is a relaxed structure of NaTb5In4, with properties calculated at the PBE-GGA level.

DFT formation energy (eV per atom): -0.322
Fermi-level density of states (states/eV per cell): 6.47

a b c (Å): 3.587 3.587 21.923
angles (deg): 90.00 90.00 90.00
Space group P4/mmm (No. 123)
Symmetry-distinct sites (fractional):
Na 0.000 0.000 0.000 [1 per cell]
Tb 0.500 0.500 0.124 [2 per cell]
Tb 0.500 0.500 0.310 [2 per cell]
Tb 0.500 0.500 0.500 [1 per cell]
In 0.000 0.000 0.214 [2 per cell]
In 0.000 0.000 0.405 [2 per cell]

(4)
Below is a relaxed structure of NaTbIn4, with properties calculated at the PBE-GGA level.

DFT formation energy (eV per atom): -0.248
Fermi-level density of states (states/eV per cell): 3.22
Distance to the lowest polymorph of the same formula (eV/atom): 0.000

a b c (Å): 3.458 5.053 8.952
angles (deg): 90.00 90.00 90.00
Space group Pmmm (No. 47)
Symmetry-distinct sites (fractional):
Na 0.000 0.000 0.000 [1 per cell]
Tb 0.000 0.500 0.500 [1 per cell]
In 0.500 0.000 0.336 [2 per cell]
In 0.500 0.500 0.167 [2 per cell]

(5)
Below is a relaxed structure of NaTb5In3, with properties calculated at the PBE-GGA level.

DFT formation energy (eV per atom): -0.316
Fermi-level density of states (states/eV per cell): 14.12

a b c (Å): 9.3856 9.3856 6.7009
angles (deg): 90.00 90.00 120.00
Space group P6_3/mcm (No. 193)
Symmetry-distinct sites (fractional):
Na 0.0000 0.0000 0.0000 [2 per cell]
Tb 0.0000 0.3188 0.2500 [6 per cell]
Tb 0.3333 0.6667 0.0000 [4 per cell]
In 0.0000 0.3479 0.7500 [6 per cell]

(6)
Below is a relaxed structure of NaTbIn, with properties calculated at the PBE-GGA level.

DFT formation energy (eV per atom): -0.182
Fermi-level density of states (states/eV per cell): 12.75
Distance to the lowest polymorph of the same formula (eV/atom): 0.000

a b c (Å): 3.619 17.475 5.359
angles (deg): 90.00 90.00 90.00
Space group Cmcm (No. 63)
Symmetry-distinct sites (fractional):
Na 0.000 0.247 0.250 [4 per cell]
Tb 0.000 0.433 0.750 [4 per cell]
In 0.000 0.099 0.750 [4 per cell]

(7)
Below is a relaxed structure of Na4Tb3InTe8, with properties calculated at the PBE-GGA level.

Fermi-level density of states (states/eV per cell): 6.89
Raw formation energy (eV/atom): -1.108

a b c (Å): 8.8471 8.8471 22.7633
angles (deg): 90.00 90.00 120.00
Space group R-3m (No. 166, hexagonal axes)
Symmetry-distinct sites (fractional):
Na 0.0000 0.0000 0.0000 [3 per cell]
Na 0.0000 0.5000 0.0000 [9 per cell]
Tb 0.0000 0.5000 0.5000 [9 per cell]
In 0.0000 0.0000 0.5000 [3 per cell]
Te 0.0000 0.0000 0.2443 [6 per cell]
Te 0.0050 0.5025 0.2435 [18 per cell]

(8)
Below is a relaxed structure of NaTbInTe3, with properties calculated at the PBE-GGA level.

Fermi-level density of states (states/eV per cell): 3.23
Raw formation energy (eV/atom): -0.894

a b c (Å): 9.005 4.354 10.550
angles (deg): 90.00 99.52 90.00
Space group P2_1/m (No. 11)
Symmetry-distinct sites (fractional):
Na 0.150 0.250 0.160 [2 per cell]
Tb 0.364 0.750 0.841 [2 per cell]
In 0.127 0.250 0.555 [2 per cell]
Te 0.111 0.250 0.830 [2 per cell]
Te 0.343 0.750 0.539 [2 per cell]
Te 0.396 0.750 0.140 [2 per cell]

(9)
Below is a relaxed structure of NaTbTmIn, with properties calculated at the PBE-GGA level.

DFT formation energy (eV per atom): -0.107
Fermi-level density of states (states/eV per cell): 14.63

a b c (Å): 7.595 7.595 7.595
angles (deg): 90.00 90.00 90.00
Space group F-43m (No. 216)
Symmetry-distinct sites (fractional):
Na 0.000 0.000 0.000 [4 per cell]
Tb 0.250 0.250 0.250 [4 per cell]
Tm 0.250 0.250 0.750 [4 per cell]
In 0.000 0.000 0.500 [4 per cell]

(10)
Below is a relaxed structure of NaTbYIn, with properties calculated at the PBE-GGA level.

DFT formation energy (eV per atom): -0.145
Fermi-level density of states (states/eV per cell): 16.06

a b c (Å): 7.647 7.647 7.647
angles (deg): 90.00 90.00 90.00
Space group F-43m (No. 216)
Symmetry-distinct sites (fractional):
Na 0.000 0.000 0.000 [4 per cell]
Tb 0.250 0.250 0.250 [4 per cell]
Y 0.250 0.250 0.750 [4 per cell]
In 0.000 0.000 0.500 [4 per cell]

(11)
Below is a relaxed structure of NaTbZnIn, with properties calculated at the PBE-GGA level.

DFT formation energy (eV per atom): -0.181
Fermi-level density of states (states/eV per cell): 7.00

a b c (Å): 7.283 7.283 7.283
angles (deg): 90.00 90.00 90.00
Space group F-43m (No. 216)
Symmetry-distinct sites (fractional):
Na 0.000 0.000 0.000 [4 per cell]
Tb 0.000 0.000 0.500 [4 per cell]
Zn 0.250 0.250 0.750 [4 per cell]
In 0.250 0.250 0.250 [4 per cell]

(12)
Below is a relaxed structure of NaInTc3, with properties calculated at the PBE-GGA level.

DFT formation energy (eV per atom): 2.177
Fermi-level density of states (states/eV per cell): 8.06
Distance to the lowest polymorph of the same formula (eV/atom): 0.000

a b c (Å): 5.135 5.135 5.135
angles (deg): 90.00 90.00 90.00
Space group Pm-3m (No. 221)
Symmetry-distinct sites (fractional):
Na 0.000 0.000 0.000 [1 per cell]
In 0.500 0.500 0.500 [1 per cell]
Tc 0.000 0.500 0.500 [3 per cell]

- The lowest Fermi-level density of states belongs to which entry?
  number 1

- Look up the Fermi-level density of states of the second one.
  15.02 states/eV per cell

- What is the formula in the twelfth record?
  NaInTc3

- Number 7 is which compound?
  Na4Tb3InTe8